# BeZn2AgIr

A geometry-optimized BeZn2AgIr structure (GGA-PBE, the Alexandria database).

Structure (POSCAR):
```
BeZn2AgIr
1.0
4.6197 0.0000 0.0000
0.0000 5.0403 0.0000
0.0000 0.0000 4.6197
Ir Be Zn Ag
1 1 2 1
Cartesian
0.0000 2.5201 0.0000
2.3099 2.5201 2.3099
2.3099 0.0000 0.0000
0.0000 0.0000 2.3099
0.0000 0.0000 0.0000
```

Computed properties:
Fermi-level density of states (states/eV per cell): 3.29
Energy relative to the elements (meV per atom): 1423
E (eV per atom): -2.174
Volume (A^3/atom): 21.51